(P)
Below is an optimized crystal structure of PbC3O, with properties calculated at the GGA-PBE level.

The structure in POSCAR format:
```
PbC3O
1.0
-1.947 3.344 -0.232
-2.003 -1.376 -3.020
-2.687 -1.397 2.419
Pb C O
1 3 1
direct
0.500 0.500 0.500
0.000 0.500 0.000
0.000 0.000 0.500
0.500 0.000 0.000
0.000 0.000 0.000
```

Results
* SG: No. 221
* crystal system: cubic
* size of the total moment: 0.0 μB per cell

=====

(Q)
Below is an optimized crystal structure of PbC3O, with properties calculated at the GGA-PBE level.

The structure in POSCAR format:
```
PbC3O
1.0
-1.367 -3.250 -2.781
4.092 -0.143 -1.843
1.245 -3.095 3.005
Pb C O
1 3 1
direct
0.000 0.000 0.000
0.000 0.500 0.000
0.000 0.000 0.500
0.500 0.000 0.000
0.500 0.500 0.500
```

Results
* SG: No. 221
* crystal system: cubic
* size of the total moment: 1.3 μB per cell

=====

Stability, highest: (P)